# PmTcRh | Alexandria | PBE-GGA | relaxed
# Theoretical density (Mg/m³): 9.604
# E_form (eV per atom): -0.12
# DFT total energy (eV per atom): -7.61
# M_tot (μB per formula unit): 0.1
# DOS at the Fermi energy (states/eV/f.u.): 5.4
data_PmTcRh
_cell_length_a 6.7164
_cell_length_b 6.7164
_cell_length_c 4.5929
_cell_angle_alpha 90.00
_cell_angle_beta 90.00
_cell_angle_gamma 120.00
_symmetry_space_group_name_H-M 'P -6 2 m'
_symmetry_Int_Tables_number 189
_symmetry_space_group_name_Hall 'P -6 -2'
loop_
_atom_site_label
_atom_site_type_symbol
_atom_site_fract_x
_atom_site_fract_y
_atom_site_fract_z
_atom_site_occupancy
Pm1 Pm 0.0000 0.5819 0.0000 1
Tc1 Tc 0.0000 0.2228 0.5000 1
Rh1 Rh 0.0000 0.0000 0.0000 1
Rh2 Rh 0.3333 0.6667 0.5000 1

# SnPb | Alexandria | PBE-GGA | relaxed
# Theoretical density (Mg/m³): 9.080
# E_form (eV per atom): 0.06
# DFT total energy (eV per atom): -3.79
# M_tot (μB per formula unit): 0.0
# DOS at the Fermi energy (states/eV/f.u.): 1.5
data_SnPb
_cell_length_a 3.4113
_cell_length_b 3.4113
_cell_length_c 5.9140
_cell_angle_alpha 90.00
_cell_angle_beta 90.00
_cell_angle_gamma 120.00
_symmetry_space_group_name_H-M 'P -6 m 2'
_symmetry_Int_Tables_number 187
_symmetry_space_group_name_Hall 'P -6 2'
loop_
_atom_site_label
_atom_site_type_symbol
_atom_site_fract_x
_atom_site_fract_y
_atom_site_fract_z
_atom_site_occupancy
Sn1 Sn 0.0000 0.0000 0.0000 1
Pb1 Pb 0.3333 0.6667 0.5000 1

# SmHo3Er3Se8 | Alexandria | PBE-GGA | relaxed
# Theoretical density (Mg/m³): 7.922
# Uncorrected formation energy (meV per atom): -1805
# DFT total energy (eV per atom): -5.81
# M_tot (μB per formula unit): 0.0
# DOS at the Fermi energy (states/eV/f.u.): 5.8
data_SmHo3Er3Se8
_cell_length_a 8.0784
_cell_length_b 8.0784
_cell_length_c 19.7897
_cell_angle_alpha 90.00
_cell_angle_beta 90.00
_cell_angle_gamma 120.00
_symmetry_space_group_name_H-M 'R -3 m'
_symmetry_Int_Tables_number 166
_symmetry_space_group_name_Hall '-R 3 2"'
loop_
_atom_site_label
_atom_site_type_symbol
_atom_site_fract_x
_atom_site_fract_y
_atom_site_fract_z
_atom_site_occupancy
Sm1 Sm 0.0000 0.0000 0.0000 1
Ho1 Ho 0.0000 0.5000 0.5000 1
Er1 Er 0.0000 0.5000 0.0000 1
Se1 Se 0.0000 0.0000 0.2506 1
Se2 Se 0.0127 0.5063 0.2474 1

# ScCrNi | Alexandria | PBE-GGA | relaxed
# Relative energy among the computed polymorphs (kJ/mol of formula units): 79
# Theoretical density (Mg/m³): 5.787
# E_form (eV per atom): 0.37
# DFT total energy (eV per atom): -6.88
# M_tot (μB per formula unit): 1.1
# DOS at the Fermi energy (states/eV/f.u.): 3.8
data_ScCrNi
_cell_length_a 2.8673
_cell_length_b 2.8673
_cell_length_c 6.2724
_cell_angle_alpha 90.00
_cell_angle_beta 90.00
_cell_angle_gamma 120.00
_symmetry_space_group_name_H-M 'P 3 m 1'
_symmetry_Int_Tables_number 156
loop_
_symmetry_equiv_pos_as_xyz
'x,y,z'
'-y,x-y,z'
'-x+y,-x,z'
'-y,-x,z'
'-x+y,y,z'
'x,x-y,z'
loop_
_atom_site_label
_atom_site_type_symbol
_atom_site_fract_x
_atom_site_fract_y
_atom_site_fract_z
_atom_site_occupancy
Sc1 Sc 0.0000 0.0000 0.0000 1
Cr1 Cr 0.3333 0.6667 0.3562 1
Ni1 Ni 0.6667 0.3333 0.6464 1

# Y2TcAgP | Alexandria | PBE-GGA | relaxed
# Theoretical density (Mg/m³): 5.230
# E_form (eV per atom): 0.84
# DFT total energy (eV per atom): -5.47
# M_tot (μB per formula unit): 1.4
# DOS at the Fermi energy (states/eV/f.u.): 4.4
data_Y2TcAgP
_cell_length_a 5.493
_cell_length_b 5.493
_cell_length_c 4.364
_cell_angle_alpha 90.00
_cell_angle_beta 90.00
_cell_angle_gamma 90.00
_symmetry_space_group_name_H-M 'P 4/m m m'
_symmetry_Int_Tables_number 123
_symmetry_space_group_name_Hall '-P 4 2'
loop_
_atom_site_label
_atom_site_type_symbol
_atom_site_fract_x
_atom_site_fract_y
_atom_site_fract_z
_atom_site_occupancy
Y1 Y 0.000 0.500 0.000 1
Tc1 Tc 0.000 0.000 0.500 1
Ag1 Ag 0.500 0.500 0.000 1
P1 P 0.500 0.500 0.500 1

# Tb6Pm2YSc | Alexandria | PBE-GGA | relaxed
# Theoretical density (Mg/m³): 7.146
# E_form (eV per atom): 0.12
# DFT total energy (eV per atom): -4.89
# M_tot (μB per formula unit): 0.0
# DOS at the Fermi energy (states/eV/f.u.): 13.0
data_Tb6Pm2YSc
_cell_length_a 9.036
_cell_length_b 14.958
_cell_length_c 9.569
_cell_angle_alpha 90.00
_cell_angle_beta 98.16
_cell_angle_gamma 90.00
_symmetry_space_group_name_H-M 'C 1 2/c 1'
_symmetry_Int_Tables_number 15
loop_
_symmetry_equiv_pos_as_xyz
'x,y,z'
'-x,-y,-z'
'-x,y,-z+1/2'
'x,-y,z+1/2'
'x+1/2,y+1/2,z'
'-x+1/2,-y+1/2,-z'
'-x+1/2,y+1/2,-z+1/2'
'x+1/2,-y+1/2,z+1/2'
loop_
_atom_site_label
_atom_site_type_symbol
_atom_site_fract_x
_atom_site_fract_y
_atom_site_fract_z
_atom_site_occupancy
Tb1 Tb 0.062 0.190 0.444 1
Tb2 Tb 0.102 0.395 0.617 1
Tb3 Tb 0.210 0.220 0.808 1
Pm1 Pm 0.249 0.448 0.956 1
Y1 Y 0.000 0.018 0.750 1
Sc1 Sc 0.000 0.412 0.250 1

# TbDy2Ho4Er2 | Alexandria | PBE-GGA | relaxed
# Theoretical density (Mg/m³): 8.817
# E_form (eV per atom): 0.00
# DFT total energy (eV per atom): -4.59
# M_tot (μB per formula unit): 0.0
# DOS at the Fermi energy (states/eV/f.u.): 11.8
data_TbDy2Ho4Er2
_cell_length_a 18.448
_cell_length_b 3.552
_cell_length_c 9.433
_cell_angle_alpha 90.00
_cell_angle_beta 115.74
_cell_angle_gamma 90.00
_symmetry_space_group_name_H-M 'C 1 2/m 1'
_symmetry_Int_Tables_number 12
loop_
_symmetry_equiv_pos_as_xyz
'x,y,z'
'-x,-y,-z'
'-x,y,-z'
'x,-y,z'
'x+1/2,y+1/2,z'
'-x+1/2,-y+1/2,-z'
'-x+1/2,y+1/2,-z'
'x+1/2,-y+1/2,z'
loop_
_atom_site_label
_atom_site_type_symbol
_atom_site_fract_x
_atom_site_fract_y
_atom_site_fract_z
_atom_site_occupancy
Tb1 Tb 0.000 0.000 0.000 1
Dy1 Dy 0.148 0.000 0.666 1
Ho1 Ho 0.019 0.500 0.334 1
Ho2 Ho 0.185 0.000 0.334 1
Er1 Er 0.167 0.500 0.001 1

# Pr2YOsO8 | Alexandria | PBE-GGA | relaxed
# Theoretical density (Mg/m³): 6.076
# Uncorrected formation energy (meV per atom): -2408
# DFT total energy (eV per atom): -7.99
# M_tot (μB per formula unit): 1.0
# DOS at the Fermi energy (states/eV/f.u.): 1.6
data_Pr2YOsO8
_cell_length_a 7.310
_cell_length_b 7.390
_cell_length_c 6.971
_cell_angle_alpha 90.00
_cell_angle_beta 90.00
_cell_angle_gamma 90.00
_symmetry_space_group_name_H-M 'C m m m'
_symmetry_Int_Tables_number 65
_symmetry_space_group_name_Hall '-C 2 2'
loop_
_atom_site_label
_atom_site_type_symbol
_atom_site_fract_x
_atom_site_fract_y
_atom_site_fract_z
_atom_site_occupancy
Pr1 Pr 0.000 0.000 0.250 1
Y1 Y 0.000 0.500 0.000 1
Os1 Os 0.000 0.500 0.500 1
O1 O 0.000 0.324 0.292 1
O2 O 0.199 0.000 0.000 1
O3 O 0.246 0.000 0.500 1

# CdP2PbO | Alexandria | PBE-GGA | relaxed
# Relative energy among the computed polymorphs (kJ/mol of formula units): 0
# Theoretical density (Mg/m³): 6.064
# Uncorrected formation energy (meV per atom): 603
# DFT total energy (eV per atom): -3.48
# M_tot (μB per formula unit): 0.9
# DOS at the Fermi energy (states/eV/f.u.): 5.9
data_CdP2PbO
_cell_length_a 5.125
_cell_length_b 5.125
_cell_length_c 4.144
_cell_angle_alpha 90.00
_cell_angle_beta 90.00
_cell_angle_gamma 90.00
_symmetry_space_group_name_H-M 'P 4/m m m'
_symmetry_Int_Tables_number 123
_symmetry_space_group_name_Hall '-P 4 2'
loop_
_atom_site_label
_atom_site_type_symbol
_atom_site_fract_x
_atom_site_fract_y
_atom_site_fract_z
_atom_site_occupancy
Cd1 Cd 0.000 0.000 0.000 1
P1 P 0.000 0.500 0.000 1
Pb1 Pb 0.500 0.500 0.500 1
O1 O 0.000 0.000 0.500 1

# CoRuW4 | Alexandria | PBE-GGA | relaxed
# Theoretical density (Mg/m³): 15.238
# E_form (eV per atom): 0.60
# DFT total energy (eV per atom): -10.76
# M_tot (μB per formula unit): 1.0
# DOS at the Fermi energy (states/eV/f.u.): 3.6
data_CoRuW4
_cell_length_a 7.308
_cell_length_b 7.308
_cell_length_c 7.308
_cell_angle_alpha 90.00
_cell_angle_beta 90.00
_cell_angle_gamma 90.00
_symmetry_space_group_name_H-M 'F -4 3 m'
_symmetry_Int_Tables_number 216
_symmetry_space_group_name_Hall 'F -4 2 3'
loop_
_atom_site_label
_atom_site_type_symbol
_atom_site_fract_x
_atom_site_fract_y
_atom_site_fract_z
_atom_site_occupancy
Co1 Co 0.000 0.000 0.000 1
Ru1 Ru 0.250 0.250 0.750 1
W1 W 0.126 0.126 0.374 1

# IrSe2NCl | Alexandria | PBE-GGA | relaxed
# Relative energy among the computed polymorphs (kJ/mol of formula units): 0
# Theoretical density (Mg/m³): 6.689
# Uncorrected formation energy (meV per atom): 585
# DFT total energy (eV per atom): -4.62
# M_tot (μB per formula unit): 0.0
# DOS at the Fermi energy (states/eV/f.u.): 6.1
data_IrSe2NCl
_cell_length_a 5.218
_cell_length_b 5.218
_cell_length_c 3.643
_cell_angle_alpha 90.00
_cell_angle_beta 90.00
_cell_angle_gamma 90.00
_symmetry_space_group_name_H-M 'P 4/m m m'
_symmetry_Int_Tables_number 123
_symmetry_space_group_name_Hall '-P 4 2'
loop_
_atom_site_label
_atom_site_type_symbol
_atom_site_fract_x
_atom_site_fract_y
_atom_site_fract_z
_atom_site_occupancy
Ir1 Ir 0.000 0.000 0.000 1
Se1 Se 0.000 0.500 0.000 1
N1 N 0.000 0.000 0.500 1
Cl1 Cl 0.500 0.500 0.500 1

# Ta2MnRu2 | Alexandria | PBE-GGA | relaxed
# Theoretical density (Mg/m³): 12.802
# E_form (eV per atom): 0.20
# DFT total energy (eV per atom): -10.08
# M_tot (μB per formula unit): 0.0
# DOS at the Fermi energy (states/eV/f.u.): 8.7
data_Ta2MnRu2
_cell_length_a 7.246
_cell_length_b 7.246
_cell_length_c 3.059
_cell_angle_alpha 90.00
_cell_angle_beta 90.00
_cell_angle_gamma 90.00
_symmetry_space_group_name_H-M 'P 4/m b m'
_symmetry_Int_Tables_number 127
_symmetry_space_group_name_Hall '-P 4 2ab'
loop_
_atom_site_label
_atom_site_type_symbol
_atom_site_fract_x
_atom_site_fract_y
_atom_site_fract_z
_atom_site_occupancy
Ta1 Ta 0.168 0.332 0.000 1
Mn1 Mn 0.000 0.000 0.500 1
Ru1 Ru 0.135 0.635 0.500 1